Entry 1:
! CsTlBr2, optimized geometry, DFT GGA-PBEsol; values from VASP
&SYSTEM
  ibrav = 0, nat = 16, ntyp = 3
/
ATOMIC_SPECIES
Cs 132.91 Cs.upf
Tl 204.38 Tl.upf
Br 79.90 Br.upf
ATOMIC_POSITIONS crystal
Cs 0.000 0.000 0.000
Cs 0.000 0.500 0.250
Cs 0.500 0.000 0.750
Cs 0.500 0.500 0.500
Tl 0.000 0.000 0.500
Tl 0.000 0.500 0.750
Tl 0.500 0.000 0.250
Tl 0.500 0.500 0.000
Br 0.214 0.250 0.625
Br 0.250 0.714 0.875
Br 0.250 0.786 0.375
Br 0.286 0.250 0.125
Br 0.714 0.750 0.125
Br 0.750 0.214 0.375
Br 0.750 0.286 0.875
Br 0.786 0.750 0.625
CELL_PARAMETERS angstrom
7.669 0.000 0.000
0.000 7.669 0.000
0.000 0.000 15.112
! * E_form (uncorrected): -1165 meV/atom
! * space-group type: No. 122
! * E_tot: -47.9 eV for the cell shown

***

Entry 2:
! Er3Cu4Sn4, optimized geometry, DFT GGA-PBEsol; values from VASP
&SYSTEM
  ibrav = 0, nat = 11, ntyp = 3
/
ATOMIC_SPECIES
Er 167.26 Er.upf
Cu 63.55 Cu.upf
Sn 118.71 Sn.upf
ATOMIC_POSITIONS crystal
Er 0.000 0.000 0.000
Er 0.369 0.869 0.500
Er 0.631 0.131 0.500
Cu 0.017 0.329 0.689
Cu 0.360 0.671 0.689
Cu 0.640 0.329 0.311
Cu 0.983 0.671 0.311
Sn 0.216 0.216 0.000
Sn 0.296 0.500 0.796
Sn 0.704 0.500 0.204
Sn 0.784 0.784 0.000
CELL_PARAMETERS angstrom
-2.191 3.408 7.198
2.191 -3.408 7.198
2.191 3.408 -7.198
! * formation enthalpy at 0 K: -5.84 eV per formula unit
! * space-group type: No. 71
! * E_tot: -55.0 eV for the cell shown

***

Entry 3:
! Li6Cr5CuO12, optimized geometry, DFT GGA-PBEsol; values from VASP
&SYSTEM
  ibrav = 0, nat = 24, ntyp = 4
/
ATOMIC_SPECIES
Li 6.94 Li.upf
Cr 52.00 Cr.upf
Cu 63.55 Cu.upf
O 16.00 O.upf
ATOMIC_POSITIONS crystal
Li 0.093 0.093 0.249
Li 0.242 0.572 0.744
Li 0.428 0.758 0.256
Li 0.572 0.242 0.744
Li 0.758 0.428 0.256
Li 0.907 0.907 0.751
Cr 0.167 0.833 0.500
Cr 0.336 0.664 0.000
Cr 0.500 0.500 0.500
Cr 0.664 0.336 0.000
Cr 0.833 0.167 0.500
Cu 0.000 0.000 0.000
O 0.035 0.688 0.111
O 0.129 0.464 0.387
O 0.199 0.199 0.612
O 0.312 0.965 0.889
O 0.401 0.401 0.120
O 0.464 0.129 0.387
O 0.536 0.871 0.613
O 0.599 0.599 0.880
O 0.688 0.035 0.111
O 0.801 0.801 0.388
O 0.871 0.536 0.613
O 0.965 0.312 0.889
CELL_PARAMETERS angstrom
2.480 -4.259 0.000
2.480 4.259 0.000
-1.516 0.000 9.763
! * E_form (uncorrected): -1894 meV/atom
! * space-group type: No. 12
! * E_tot: -175.8 eV for the cell shown

***

Entry 4:
! ZnAsIr2, optimized geometry, DFT GGA-PBEsol; values from VASP
&SYSTEM
  ibrav = 0, nat = 4, ntyp = 3
/
ATOMIC_SPECIES
Zn 65.41 Zn.upf
As 74.92 As.upf
Ir 192.22 Ir.upf
ATOMIC_POSITIONS crystal
Zn 0.000 0.000 0.000
As 0.500 0.000 0.500
Ir 0.268 0.500 0.249
Ir 0.732 0.500 0.751
CELL_PARAMETERS angstrom
2.830 0.000 0.000
0.000 4.254 0.000
-0.009 0.000 4.872
! * energy above the lowest structure with this stoichiometry: 0.68 eV per formula unit
! * formation enthalpy at 0 K: 0.58 eV per formula unit
! * space-group type: No. 10
! * E_tot: -25.8 eV for the cell shown

***

Entry 5:
! K2CdAg, optimized geometry, DFT GGA-PBEsol; values from VASP
&SYSTEM
  ibrav = 0, nat = 8, ntyp = 3
/
ATOMIC_SPECIES
K 39.10 K.upf
Cd 112.41 Cd.upf
Ag 107.87 Ag.upf
ATOMIC_POSITIONS crystal
K 0.000 0.500 0.250
K 0.000 0.500 0.750
K 0.500 0.000 0.250
K 0.500 0.000 0.750
Cd 0.000 0.000 0.000
Cd 0.500 0.500 0.500
Ag 0.000 0.000 0.500
Ag 0.500 0.500 0.000
CELL_PARAMETERS angstrom
5.674 0.000 0.000
0.000 5.674 0.000
0.000 0.000 8.307
! * energy above the lowest structure with this stoichiometry: 0.41 eV per formula unit
! * formation enthalpy at 0 K: 0.61 eV per formula unit
! * space-group type: No. 139
! * E_tot: -12.3 eV for the cell shown

***

Entry 6:
! FeReSi, optimized geometry, DFT GGA-PBEsol; values from VASP
&SYSTEM
  ibrav = 0, nat = 6, ntyp = 3
/
ATOMIC_SPECIES
Fe 55.84 Fe.upf
Re 186.21 Re.upf
Si 28.09 Si.upf
ATOMIC_POSITIONS crystal
Fe 0.000 0.000 0.000
Fe 0.500 0.500 0.500
Re 0.000 0.000 0.684
Re 0.500 0.500 0.184
Si 0.000 0.000 0.361
Si 0.500 0.500 0.861
CELL_PARAMETERS angstrom
2.807 0.000 0.000
0.000 2.807 0.000
0.000 0.000 9.042
! * E_form (uncorrected): -249 meV/atom
! * space-group type: No. 107
! * E_tot: -57.6 eV for the cell shown

***

Entry 7:
! CaY2As, optimized geometry, DFT GGA-PBEsol; values from VASP
&SYSTEM
  ibrav = 0, nat = 4, ntyp = 3
/
ATOMIC_SPECIES
Ca 40.08 Ca.upf
Y 88.91 Y.upf
As 74.92 As.upf
ATOMIC_POSITIONS crystal
Ca 0.000 0.000 0.000
Y 0.499 0.500 0.657
Y 0.998 0.000 0.380
As 0.499 0.500 0.224
CELL_PARAMETERS angstrom
3.698 0.000 0.000
0.000 3.698 0.000
-0.006 0.000 8.259
! * formation enthalpy at 0 K: -2.20 eV per formula unit
! * space-group type: No. 6
! * E_tot: -23.1 eV for the cell shown

***

Entry 8:
! TlReHg2, optimized geometry, DFT GGA-PBEsol; values from VASP
&SYSTEM
  ibrav = 0, nat = 4, ntyp = 3
/
ATOMIC_SPECIES
Tl 204.38 Tl.upf
Re 186.21 Re.upf
Hg 200.59 Hg.upf
ATOMIC_POSITIONS crystal
Tl 0.000 0.000 0.000
Re 0.500 0.500 0.000
Hg 0.000 0.500 0.500
Hg 0.500 0.000 0.500
CELL_PARAMETERS angstrom
4.187 0.000 0.000
0.000 4.187 0.000
0.000 0.000 4.358
! * energy above the lowest structure with this stoichiometry: 0.62 eV per formula unit
! * formation enthalpy at 0 K: 3.55 eV per formula unit
! * space-group type: No. 123
! * E_tot: -13.5 eV for the cell shown

***

Look up the E_tot of the fourth one.
-25.8 eV for the cell shown

***

What is the E_tot in the second record?
-55.0 eV for the cell shown

***

Among the records above, which one has the highest E_tot?
K2CdAg

***

Number 7 is which compound?
CaY2As